(1)
Ac3Sb5Se12 | GGA-PBE | relaxed

Results
**ΔE_f (raw)**: -0.8334 eV per atom
**Crystal system**: cubic
**Calculated volume**: 33.00 A^3/atom
**VASP energy**: -4.571 eV/atom
**Theoretical density**: 5.63 g/cm³
**Size of the total moment**: 0.0 μB per formula unit

```
data_Ac3Sb5Se12
_chemical_formula_sum 'Ac24 Sb40 Se96'
_space_group_name_H-M_alt 'I a -3 d'
_space_group_IT_number 230
_space_group_name_Hall '-I 4bd 2c 3'
_cell_length_a 17.4139
_cell_length_b 17.4139
_cell_length_c 17.4139
_cell_angle_alpha 90.00
_cell_angle_beta 90.00
_cell_angle_gamma 90.00
loop_
_atom_site_label
_atom_site_fract_x
_atom_site_fract_y
_atom_site_fract_z
_atom_site_occupancy
Ac1 0.0000 0.2500 0.1250 1
Sb1 0.0000 0.0000 0.0000 1
Sb2 0.0000 0.2500 0.3750 1
Se1 0.0201 0.0640 0.6509 1
```

***

(2)
Li2TiTeSe | GGA-PBE | relaxed

Results
**ΔE_f (raw)**: 0.3668 eV per atom
**Crystal system**: tetragonal
**Calculated volume**: 27.39 A^3/atom
**VASP energy**: -3.303 eV/atom
**Theoretical density**: 3.25 g/cm³
**Size of the total moment**: 0.0 μB per formula unit

```
data_Li2TiTeSe
_chemical_formula_sum 'Li2 Ti1 Te1 Se1'
_space_group_name_H-M_alt 'P 4/m m m'
_space_group_IT_number 123
_space_group_name_Hall '-P 4 2'
_cell_length_a 4.6684
_cell_length_b 4.6684
_cell_length_c 6.2839
_cell_angle_alpha 90.00
_cell_angle_beta 90.00
_cell_angle_gamma 90.00
loop_
_atom_site_label
_atom_site_fract_x
_atom_site_fract_y
_atom_site_fract_z
_atom_site_occupancy
Li1 0.0000 0.5000 0.0000 1
Ti1 0.0000 0.0000 0.5000 1
Te1 0.5000 0.5000 0.0000 1
Se1 0.5000 0.5000 0.5000 1
```

***

(3)
CaCe2Fe | GGA-PBE | relaxed

Results
**ΔH_f (0 K)**: 9.8 kJ per mole of atoms
**Crystal system**: trigonal
**Calculated volume**: 29.28 A^3/atom
**VASP energy**: -5.481 eV/atom
**Theoretical density**: 5.33 g/cm³
**Size of the total moment**: 1.2 μB per formula unit

```
data_CaCe2Fe
_chemical_formula_sum 'Ca3 Ce6 Fe3'
_space_group_name_H-M_alt 'R -3 m'
_space_group_IT_number 166
_space_group_name_Hall '-R 3 2"'
_cell_length_a 3.8134
_cell_length_b 3.8134
_cell_length_c 27.8977
_cell_angle_alpha 90.00
_cell_angle_beta 90.00
_cell_angle_gamma 120.00
loop_
_atom_site_label
_atom_site_fract_x
_atom_site_fract_y
_atom_site_fract_z
_atom_site_occupancy
Ca1 0.0000 0.0000 0.0000 1
Ce1 0.0000 0.0000 0.2187 1
Fe1 0.0000 0.0000 0.5000 1
```

***

(4)
LiRePt | GGA-PBE | relaxed

Results
**ΔH_f (0 K)**: -20.4 kJ per mole of atoms
**Crystal system**: monoclinic
**Calculated volume**: 14.97 A^3/atom
**VASP energy**: -7.012 eV/atom
**Theoretical density**: 14.36 g/cm³
**Size of the total moment**: 0.0 μB per formula unit

```
data_LiRePt
_chemical_formula_sum 'Li4 Re4 Pt4'
_space_group_name_H-M_alt 'C 1 2/m 1'
_space_group_IT_number 12
_cell_length_a 15.1934
_cell_length_b 2.7362
_cell_length_c 4.3336
_cell_angle_alpha 90.00
_cell_angle_beta 94.53
_cell_angle_gamma 90.00
loop_
_space_group_symop_operation_xyz
'x,y,z'
'-x,-y,-z'
'-x,y,-z'
'x,-y,z'
'x+1/2,y+1/2,z'
'-x+1/2,-y+1/2,-z'
'-x+1/2,y+1/2,-z'
'x+1/2,-y+1/2,z'
loop_
_atom_site_label
_atom_site_fract_x
_atom_site_fract_y
_atom_site_fract_z
_atom_site_occupancy
Li1 0.0894 0.0000 0.1912 1
Re1 0.2220 0.0000 0.7434 1
Pt1 0.0743 0.5000 0.6852 1
```

***

(5)
VGe2Rh2 | GGA-PBE | relaxed

Results
**ΔH_f (0 K)**: -15.7 kJ per mole of atoms
**Crystal system**: tetragonal
**Calculated volume**: 15.07 A^3/atom
**VASP energy**: -6.774 eV/atom
**Theoretical density**: 8.86 g/cm³
**Size of the total moment**: 2.2 μB per formula unit

```
data_VGe2Rh2
_chemical_formula_sum 'V2 Ge4 Rh4'
_space_group_name_H-M_alt 'P 4/m b m'
_space_group_IT_number 127
_space_group_name_Hall '-P 4 2ab'
_cell_length_a 7.2843
_cell_length_b 7.2843
_cell_length_c 2.8400
_cell_angle_alpha 90.00
_cell_angle_beta 90.00
_cell_angle_gamma 90.00
loop_
_atom_site_label
_atom_site_fract_x
_atom_site_fract_y
_atom_site_fract_z
_atom_site_occupancy
V1 0.0000 0.0000 0.0000 1
Ge1 0.1608 0.3392 0.5000 1
Rh1 0.1386 0.6386 0.0000 1
```